Na3P2H4: optimized geometry, PBE. Values from VASP.

Summary:
Final energy ... -29.554 eV for the cell shown
V ... 18.47 A^3/atom
D(E_F) ... 0.68 states/eV/cell
SG ... No. 2

Geometry as Quantum ESPRESSO input:
```
&SYSTEM
  ibrav = 0, nat = 9, ntyp = 3
/
ATOMIC_SPECIES
Na 22.99 Na.upf
P 30.97 P.upf
H 1.01 H.upf
ATOMIC_POSITIONS crystal
Na 0.000 0.000 0.000
Na 0.300 0.285 0.663
Na 0.700 0.715 0.337
P 0.363 0.367 0.180
P 0.637 0.633 0.820
H 0.156 0.189 0.227
H 0.323 0.341 0.030
H 0.677 0.659 0.970
H 0.844 0.811 0.773
CELL_PARAMETERS angstrom
4.347 0.000 0.000
1.743 4.073 0.000
0.766 0.569 9.390
```